# 1
VASP calculation (GGA-PBE) on a geometry-optimized Pm7Pr4Tm structure.

Structure (CIF):
```
data_Pm7Pr4Tm
_symmetry_space_group_name_H-M 'P -1'
_symmetry_Int_Tables_number 2
_symmetry_space_group_name_Hall '-P 1'
_cell_length_a 6.3673
_cell_length_b 7.3651
_cell_length_c 9.1370
_cell_angle_alpha 90.06
_cell_angle_beta 103.53
_cell_angle_gamma 90.00
loop_
_atom_site_label
_atom_site_type_symbol
_atom_site_fract_x
_atom_site_fract_y
_atom_site_fract_z
_atom_site_occupancy
Pm1 Pm 0.0000 0.0000 0.0000 1
Pm2 Pm 0.2212 0.5003 0.6687 1
Pm3 Pm 0.2763 0.2525 0.3284 1
Pm4 Pm 0.4995 0.2524 0.0006 1
Pr1 Pr 0.2256 0.9996 0.6683 1
Pr2 Pr 0.2768 0.7475 0.3289 1
Tm1 Tm 0.0000 0.5000 0.0000 1
```

Summary:
magnetization: 0.000 μB per atom
density of states at the Fermi level: 15.5 states/eV/cell
DFT formation energy: 0.02 eV per atom
final energy: -56.66 eV for the cell shown

=====

# 2
VASP calculation (GGA-PBE) on a geometry-optimized As2OsPt structure.

Structure (CIF):
```
data_As2OsPt
_symmetry_space_group_name_H-M 'P m m m'
_symmetry_Int_Tables_number 47
_symmetry_space_group_name_Hall '-P 2 2'
_cell_length_a 2.9507
_cell_length_b 4.3754
_cell_length_c 5.0337
_cell_angle_alpha 90.00
_cell_angle_beta 90.00
_cell_angle_gamma 90.00
loop_
_atom_site_label
_atom_site_type_symbol
_atom_site_fract_x
_atom_site_fract_y
_atom_site_fract_z
_atom_site_occupancy
As1 As 0.0000 0.0000 0.0000 1
As2 As 0.5000 0.0000 0.5000 1
Os1 Os 0.0000 0.5000 0.5000 1
Pt1 Pt 0.5000 0.5000 0.0000 1
```

Summary:
magnetization: 0.000 μB per atom
density of states at the Fermi level: 4.4 states/eV/cell
DFT formation energy: 0.52 eV per atom
final energy: -24.50 eV for the cell shown

=====

# 3
VASP calculation (GGA-PBE) on a geometry-optimized CeEuPtRh structure.

Structure (CIF):
```
data_CeEuPtRh
_symmetry_space_group_name_H-M 'F -4 3 m'
_symmetry_Int_Tables_number 216
_symmetry_space_group_name_Hall 'F -4 2 3'
_cell_length_a 7.0673
_cell_length_b 7.0673
_cell_length_c 7.0673
_cell_angle_alpha 90.00
_cell_angle_beta 90.00
_cell_angle_gamma 90.00
loop_
_atom_site_label
_atom_site_type_symbol
_atom_site_fract_x
_atom_site_fract_y
_atom_site_fract_z
_atom_site_occupancy
Ce1 Ce 0.0000 0.0000 0.0000 1
Eu1 Eu 0.0000 0.0000 0.5000 1
Pt1 Pt 0.2500 0.2500 0.7500 1
Rh1 Rh 0.2500 0.2500 0.2500 1
```

Summary:
magnetization: 1.847 μB per atom
density of states at the Fermi level: 37.9 states/eV/cell
DFT formation energy: -0.75 eV per atom
final energy: -130.43 eV for the cell shown

=====

# 4
VASP calculation (GGA-PBE) on a geometry-optimized Hg2HC2O6 structure.

Structure (CIF):
```
data_Hg2HC2O6
_symmetry_space_group_name_H-M 'C 1 2/m 1'
_symmetry_Int_Tables_number 12
_symmetry_space_group_name_Hall '-C 2y'
_cell_length_a 10.1033
_cell_length_b 4.6965
_cell_length_c 6.4731
_cell_angle_alpha 90.00
_cell_angle_beta 122.93
_cell_angle_gamma 90.00
loop_
_atom_site_label
_atom_site_type_symbol
_atom_site_fract_x
_atom_site_fract_y
_atom_site_fract_z
_atom_site_occupancy
Hg1 Hg 0.1656 0.0000 0.1643 1
H1 H 0.0000 0.0000 0.5000 1
C1 C 0.0114 0.5000 0.7236 1
O1 O 0.0838 0.2627 0.7386 1
O2 O 0.1238 0.5000 0.2981 1
```

Summary:
magnetization: 0.000 μB per atom
density of states at the Fermi level: 1.9 states/eV/cell
final energy: -117.45 eV for the cell shown